# 1
A plane-wave DFT calculation with GGA-PBE was carried out for an optimized crystal structure of La3Zn2CuPd9.

abc: 7.532 7.532 6.384
angles: 90.00 90.00 120.00
Element x y z (fractional)
Pd 0.500 0.000 0.000
Pd 0.500 0.500 0.000
Pd 0.000 0.500 0.000
Pd 0.167 0.334 0.336
Pd 0.666 0.833 0.336
Pd 0.167 0.833 0.336
Pd 0.833 0.666 0.664
Pd 0.334 0.167 0.664
Pd 0.833 0.167 0.664
Cu 0.000 0.000 0.500
La 0.667 0.333 0.336
La 0.000 0.000 0.000
La 0.333 0.667 0.664
Zn 0.333 0.667 0.168
Zn 0.667 0.333 0.832

Calculated values
DFT formation energy = -0.414 eV/atom
SG = P-3m1 (164)
magnetic moment = 0.00 μB/f.u.

---

# 2
A plane-wave DFT calculation with GGA-PBE was carried out for an optimized crystal structure of Tb6PtSe2S3.

abc: 3.957 8.158 9.030
angles: 102.80 102.66 90.00
Element x y z (fractional)
S 0.500 0.500 0.000
S 0.170 0.834 0.340
S 0.830 0.166 0.660
Tb 0.337 0.406 0.675
Tb 0.667 0.074 0.334
Tb 0.003 0.756 0.006
Tb 0.663 0.594 0.325
Tb 0.997 0.244 0.994
Tb 0.333 0.926 0.666
Pt 0.500 0.000 0.000
Se 0.832 0.662 0.664
Se 0.168 0.338 0.336

Calculated values
SG = C2/m (12)
energy relative to the elements, uncorrected = -1.794 eV per atom
magnetic moment = 0.00 μB/f.u.

---

# 3
A plane-wave DFT calculation with GGA-PBE was carried out for an optimized crystal structure of SiBO.

abc: 3.956 2.880 5.712
angles: 90.00 105.44 90.00
Element x y z (fractional)
Si 0.262 0.500 0.542
Si 0.346 0.000 0.053
O 0.571 0.500 0.106
O 0.201 0.000 0.313
B 0.007 0.000 0.730
B 0.800 0.500 0.680

Calculated values
SG = Pm (6)
energy relative to the elements, uncorrected = -0.925 eV per atom
magnetic moment = 0.00 μB/f.u.

---

# 4
A plane-wave DFT calculation with GGA-PBE was carried out for an optimized crystal structure of CsRb2LiSn.

abc: 6.792 6.792 5.430
angles: 90.00 90.00 90.00
Element x y z (fractional)
Cs 0.500 0.500 0.500
Rb 0.500 0.000 0.000
Rb 0.000 0.500 0.000
Li 0.000 0.000 0.000
Sn 0.000 0.000 0.500

Calculated values
DFT formation energy = -0.007 eV/atom
SG = P4/mmm (123)
magnetic moment = 0.00 μB/f.u.

---

# 5
A plane-wave DFT calculation with GGA-PBE was carried out for an optimized crystal structure of Na2Cu2PdSe4.

abc: 3.932 6.893 7.608
angles: 111.88 104.98 90.00
Element x y z (fractional)
Pd 0.000 0.000 0.000
Na 0.136 0.568 0.271
Na 0.864 0.432 0.729
Se 0.808 0.804 0.617
Se 0.515 0.758 0.029
Se 0.192 0.196 0.383
Se 0.485 0.242 0.971
Cu 0.311 0.020 0.622
Cu 0.689 0.980 0.378

Calculated values
SG = C2/m (12)
energy relative to the elements, uncorrected = -0.485 eV per atom
magnetic moment = 0.00 μB/f.u.

---

# 6
A plane-wave DFT calculation with GGA-PBE was carried out for an optimized crystal structure of KAc2US5.

abc: 5.109 7.455 8.576
angles: 115.76 107.33 90.00
Each line ends with the local moment (μB).
Element x y z (fractional)
Ac 0.205 0.205 0.410  0.05
Ac 0.795 0.795 0.590  0.05
S 0.000 0.000 0.000  -0.06
S 0.353 0.088 0.707  -0.02
S 0.647 0.912 0.293  -0.02
S 0.353 0.619 0.707  -0.02
S 0.647 0.381 0.293  -0.02
U 0.500 0.000 0.000  2.39
K 0.000 0.500 0.000  0.00

Calculated values
SG = Immm (71)
energy relative to the elements, uncorrected = -1.736 eV per atom
magnetic moment = 2.87 μB/f.u.

---

What is the magnetic moment in the fourth record?
0.00 μB/f.u.

---

magnetic moment of number 4 (CsRb2LiSn)?
0.00 μB/f.u.

---

Number 5 is which compound?
Na2Cu2PdSe4

---

magnetic moment of number 3 (SiBO)?
0.00 μB/f.u.